Compound: Rb3TlCo2F8
Source: Alexandria
Functional: PBE+U
Structure: optimized geometry

a = 6.4551 Å, b = 6.4551 Å, c = 8.4127 Å
α = 90.00°, β = 90.00°, γ = 120.00°
Closest atoms and distances in Å follow each position.
Fractional positions:
Rb1 0.6667 0.3333 0.3425  1 F 2.58
Rb2 0.0000 0.0000 0.0000  6 F 3.11
Rb3 0.3333 0.6667 0.6575  1 F 2.58
Co1 0.3333 0.6667 0.1897  4 F 1.89-1.94
Co2 0.6667 0.3333 0.8103  4 F 1.89-1.94
F1 0.1757 0.8243 0.2865  1 Co 1.94
F2 0.6486 0.8243 0.2865  1 Co 1.94
F3 0.6667 0.3333 0.0353  1 Co 1.89
F4 0.8243 0.1757 0.7135  1 Co 1.94
F5 0.1757 0.3514 0.2865  1 Co 1.94
F6 0.3333 0.6667 0.9647  1 Co 1.89
F7 0.8243 0.6486 0.7135  1 Co 1.94
F8 0.3514 0.1757 0.7135  1 Co 1.94
Tl1 0.0000 0.0000 0.5000  6 F 2.66

Summary:
Calculated total energy   -4.472 eV/atom
DOS at the Fermi energy   0.00 states/eV/f.u.
Size of the total moment   6.00 μB/f.u.